LaTb2DySb4: relaxed, PBE-GGA.

```
LaTb2DySb4
1.0
6.306 0.000 0.000
0.000 6.306 0.000
0.000 0.000 12.598
La Tb Dy Sb
2 4 2 8
Direct
0.000 0.000 0.000
0.500 0.500 0.500
0.000 0.500 0.250
0.000 0.500 0.750
0.500 0.000 0.250
0.500 0.000 0.750
0.000 0.000 0.500
0.500 0.500 0.000
0.000 0.000 0.255
0.000 0.000 0.745
0.000 0.500 0.000
0.000 0.500 0.500
0.500 0.000 0.000
0.500 0.000 0.500
0.500 0.500 0.245
0.500 0.500 0.755
```

## Properties
Formation energy from raw total energies: -1.16 eV per atom
VASP energy: -5.57 eV/atom
Volume: 501.0 Å³/cell
DOS at the Fermi energy: 0.147 states/eV/atom
Space-group type: I4/mmm, No. 139